(1)
## SrMnAl4 (GGA-PBEsol)

Data for a relaxed SrMnAl4 crystal.

Cell and atoms, written as POSCAR:
```
SrMnAl4
1.0
5.4860 0.0000 0.0000
2.7430 4.7510 0.0000
2.7430 1.5837 4.4793
Sr Mn Al
1 1 4
Direct
0.0000 0.0000 0.0000
0.7500 0.7500 0.7500
0.3752 0.3752 0.3752
0.3752 0.3752 0.8744
0.8744 0.3752 0.3752
0.3752 0.8744 0.3752
```

**Symmetry**: F-43m (216)
**ΔH_f (0 K)**: 0.13 eV/atom
**Raw total energy**: -4.535 eV/atom
**Fermi-level density of states**: 3.7 states/eV/cell

---

(2)
## Sr2MnAl (GGA-PBEsol)

Data for a relaxed Sr2MnAl crystal.

Cell and atoms, written as POSCAR:
```
Sr2MnAl
1.0
3.9497 0.0000 0.0000
0.0000 5.4320 0.0784
0.0000 -0.0856 5.4319
Sr Mn Al
2 1 1
Direct
0.0000 0.5000 0.0000
0.0000 0.0000 0.5000
0.5000 0.5000 0.5000
0.5000 0.0000 0.0000
```

**Symmetry**: Cmmm (65)
**ΔH_f (0 K)**: 0.37 eV/atom
**Raw total energy**: -4.012 eV/atom
**Fermi-level density of states**: 3.2 states/eV/cell

---

(3)
## SrMn2Al (GGA-PBEsol)

Data for a relaxed SrMn2Al crystal.

Cell and atoms, written as POSCAR:
```
SrMn2Al
1.0
3.1396 -0.6733 0.0000
-1.7141 7.3117 0.0000
-0.7127 -3.3192 3.3851
Sr Mn Al
1 2 1
Direct
0.5000 0.0000 0.0000
0.0000 0.0000 0.5000
0.5000 0.5000 0.5000
0.0000 0.5000 0.0000
```

**Symmetry**: Cmmm (65)
**ΔH_f (0 K)**: 0.72 eV/atom
**Raw total energy**: -5.641 eV/atom
**Fermi-level density of states**: 3.2 states/eV/cell